Cs2NiAuF: relaxed, PBE+U.

Properties
**Total energy**: -11.94 eV for the cell shown
**Magnetization**: 0.5 μB per cell
**V**: 34.446 A^3/atom
**E above lowest polymorph**: 0 meV/atom
**DOS at the Fermi energy**: 1.2 states/eV/cell

```
5
Lattice="6.539 0.000 0.000 0.000 6.539 0.000 0.000 0.000 4.028" Properties=species:S:1:pos:R:3 pbc="T T T"
Cs 0.000 3.270 0.000
Cs 3.270 0.000 0.000
Ni 0.000 0.000 0.000
Au 3.270 3.270 2.014
F 0.000 0.000 2.014
```